Entry from Alexandria via LeMat-Bulk: a relaxed structure of Y3HoTl (PBE).

```
data_Y3HoTl
_cell_length_a 5.628
_cell_length_b 5.589
_cell_length_c 9.848
_cell_angle_alpha 90.00
_cell_angle_beta 73.40
_cell_angle_gamma 90.00
_symmetry_space_group_name_H-M 'P 1'
_symmetry_Int_Tables_number 1
_symmetry_space_group_name_Hall 'P 1'
loop_
_atom_site_label
_atom_site_type_symbol
_atom_site_fract_x
_atom_site_fract_y
_atom_site_fract_z
Y1 Y 0.770 0.250 0.108
Y2 Y 0.377 0.250 0.894
Y3 Y 0.575 0.250 0.499
Y4 Y 0.271 0.750 0.106
Y5 Y 0.878 0.750 0.892
Y6 Y 0.074 0.750 0.501
Ho1 Ho 0.466 0.750 0.717
Ho2 Ho 0.183 0.250 0.283
Tl1 Tl 0.671 0.750 0.306
Tl2 Tl 0.977 0.250 0.694
```

Calculated values
V ... 29.69 Å³ per atom
Relative energy among the computed polymorphs ... 100 meV/atom
Energy of formation ... -54 meV per atom
Uncorrected energy ... -5.32 eV per atom

=====

Entry from Alexandria via LeMat-Bulk: a relaxed structure of Y4Ho5Tl (PBE).

```
data_Y4Ho5Tl
_cell_length_a 5.795
_cell_length_b 8.032
_cell_length_c 8.032
_cell_angle_alpha 82.52
_cell_angle_beta 68.85
_cell_angle_gamma 68.85
_symmetry_space_group_name_H-M 'P 1'
_symmetry_Int_Tables_number 1
_symmetry_space_group_name_Hall 'P 1'
loop_
_atom_site_label
_atom_site_type_symbol
_atom_site_fract_x
_atom_site_fract_y
_atom_site_fract_z
Y1 Y 0.461 0.316 0.684
Y2 Y 0.777 0.684 0.684
Y3 Y 0.145 0.316 0.316
Y4 Y 0.461 0.684 0.316
Ho1 Ho 0.769 0.370 0.000
Ho2 Ho 0.140 0.000 0.630
Ho3 Ho 0.769 0.000 0.370
Ho4 Ho 0.140 0.630 0.000
Ho5 Ho 0.665 0.000 0.000
Tl1 Tl 0.183 0.000 0.000
```

Calculated values
V ... 32.52 Å³ per atom
Energy of formation ... 125 meV per atom
Uncorrected energy ... -4.99 eV per atom

=====

Entry from Alexandria via LeMat-Bulk: a relaxed structure of YHo6Tl2 (PBE).

```
data_YHo6Tl2
_cell_length_a 3.728
_cell_length_b 6.633
_cell_length_c 11.760
_cell_angle_alpha 74.89
_cell_angle_beta 80.88
_cell_angle_gamma 73.68
_symmetry_space_group_name_H-M 'P 1'
_symmetry_Int_Tables_number 1
_symmetry_space_group_name_Hall 'P 1'
loop_
_atom_site_label
_atom_site_type_symbol
_atom_site_fract_x
_atom_site_fract_y
_atom_site_fract_z
Y1 Y 0.000 0.000 0.000
Ho1 Ho 0.685 0.505 0.124
Ho2 Ho 0.315 0.495 0.876
Ho3 Ho 0.310 0.795 0.584
Ho4 Ho 0.987 0.681 0.345
Ho5 Ho 0.013 0.319 0.655
Ho6 Ho 0.690 0.205 0.416
Tl1 Tl 0.359 0.074 0.208
Tl2 Tl 0.641 0.926 0.792
```

Calculated values
V ... 29.81 Å³ per atom
Relative energy among the computed polymorphs ... 0 meV/atom
Energy of formation ... -154 meV per atom
Uncorrected energy ... -4.45 eV per atom

=====

Entry from Alexandria via LeMat-Bulk: a relaxed structure of Y2Ho7Tl2 (PBE).

```
data_Y2Ho7Tl2
_cell_length_a 6.499
_cell_length_b 7.658
_cell_length_c 7.658
_cell_angle_alpha 101.18
_cell_angle_beta 105.23
_cell_angle_gamma 105.23
_symmetry_space_group_name_H-M 'P 1'
_symmetry_Int_Tables_number 1
_symmetry_space_group_name_Hall 'P 1'
loop_
_atom_site_label
_atom_site_type_symbol
_atom_site_fract_x
_atom_site_fract_y
_atom_site_fract_z
Y1 Y 0.000 0.139 0.861
Y2 Y 0.000 0.861 0.139
Ho1 Ho 0.698 0.938 0.423
Ho2 Ho 0.302 0.577 0.062
Ho3 Ho 0.302 0.062 0.577
Ho4 Ho 0.698 0.423 0.938
Ho5 Ho 0.500 0.000 0.000
Ho6 Ho 0.966 0.664 0.664
Ho7 Ho 0.034 0.336 0.336
Tl1 Tl 0.520 0.326 0.326
Tl2 Tl 0.480 0.674 0.674
```

Calculated values
V ... 30.95 Å³ per atom
Energy of formation ... 76 meV per atom
Uncorrected energy ... -4.44 eV per atom

=====

Entry from Alexandria via LeMat-Bulk: a relaxed structure of YHo2Tl9 (PBE).

```
data_YHo2Tl9
_cell_length_a 4.764
_cell_length_b 4.764
_cell_length_c 14.291
_cell_angle_alpha 90.00
_cell_angle_beta 90.00
_cell_angle_gamma 90.00
_symmetry_space_group_name_H-M 'P 1'
_symmetry_Int_Tables_number 1
_symmetry_space_group_name_Hall 'P 1'
loop_
_atom_site_label
_atom_site_type_symbol
_atom_site_fract_x
_atom_site_fract_y
_atom_site_fract_z
Y1 Y 0.000 0.000 0.000
Ho1 Ho 0.000 0.000 0.334
Ho2 Ho 0.000 0.000 0.666
Tl1 Tl 0.500 0.500 0.000
Tl2 Tl 0.500 0.500 0.334
Tl3 Tl 0.500 0.500 0.666
Tl4 Tl 0.500 0.000 0.168
Tl5 Tl 0.500 0.000 0.500
Tl6 Tl 0.500 0.000 0.832
Tl7 Tl 0.000 0.500 0.168
Tl8 Tl 0.000 0.500 0.500
Tl9 Tl 0.000 0.500 0.832
```

Calculated values
V ... 27.02 Å³ per atom
Energy of formation ... -229 meV per atom
Uncorrected energy ... -3.31 eV per atom

=====

Entry from Alexandria via LeMat-Bulk: a relaxed structure of YHo5Tl8 (PBE).

```
data_YHo5Tl8
_cell_length_a 8.010
_cell_length_b 8.010
_cell_length_c 8.010
_cell_angle_alpha 109.58
_cell_angle_beta 109.26
_cell_angle_gamma 109.58
_symmetry_space_group_name_H-M 'P 1'
_symmetry_Int_Tables_number 1
_symmetry_space_group_name_Hall 'P 1'
loop_
_atom_site_label
_atom_site_type_symbol
_atom_site_fract_x
_atom_site_fract_y
_atom_site_fract_z
Y1 Y 0.250 0.500 0.750
Ho1 Ho 0.004 0.374 0.125
Ho2 Ho 0.875 0.879 0.249
Ho3 Ho 0.751 0.626 0.630
Ho4 Ho 0.500 0.000 0.500
Ho5 Ho 0.370 0.121 0.996
Tl1 Tl 0.124 0.749 0.041
Tl2 Tl 0.959 0.084 0.709
Tl3 Tl 0.786 0.252 0.373
Tl4 Tl 0.627 0.413 0.879
Tl5 Tl 0.465 0.587 0.214
Tl6 Tl 0.625 0.916 0.876
Tl7 Tl 0.291 0.251 0.375
Tl8 Tl 0.121 0.748 0.535
```

Calculated values
V ... 28.26 Å³ per atom
Energy of formation ... -224 meV per atom
Uncorrected energy ... -3.67 eV per atom

=====

Entry from Alexandria via LeMat-Bulk: a relaxed structure of Y14HoTl (PBE).

```
data_Y14HoTl
_cell_length_a 6.949
_cell_length_b 6.949
_cell_length_c 10.899
_cell_angle_alpha 90.00
_cell_angle_beta 90.00
_cell_angle_gamma 105.02
_symmetry_space_group_name_H-M 'P 1'
_symmetry_Int_Tables_number 1
_symmetry_space_group_name_Hall 'P 1'
loop_
_atom_site_label
_atom_site_type_symbol
_atom_site_fract_x
_atom_site_fract_y
_atom_site_fract_z
Y1 Y 0.366 0.634 0.500
Y2 Y 0.815 0.185 0.500
Y3 Y 0.863 0.549 0.000
Y4 Y 0.894 0.704 0.500
Y5 Y 0.451 0.137 0.000
Y6 Y 0.296 0.106 0.500
Y7 Y 0.665 0.919 0.758
Y8 Y 0.665 0.919 0.242
Y9 Y 0.081 0.335 0.758
Y10 Y 0.081 0.335 0.242
Y11 Y 0.156 0.844 0.778
Y12 Y 0.156 0.844 0.222
Y13 Y 0.592 0.408 0.726
Y14 Y 0.592 0.408 0.274
Ho1 Ho 0.387 0.613 0.000
Tl1 Tl 0.941 0.059 0.000
```

Calculated values
V ... 31.77 Å³ per atom
Energy of formation ... -10 meV per atom
Uncorrected energy ... -6.10 eV per atom

=====

Entry from Alexandria via LeMat-Bulk: a relaxed structure of Y6Ho2Tl (PBE).

```
data_Y6Ho2Tl
_cell_length_a 3.638
_cell_length_b 9.445
_cell_length_c 9.443
_cell_angle_alpha 120.01
_cell_angle_beta 90.00
_cell_angle_gamma 90.00
_symmetry_space_group_name_H-M 'P 1'
_symmetry_Int_Tables_number 1
_symmetry_space_group_name_Hall 'P 1'
loop_
_atom_site_label
_atom_site_type_symbol
_atom_site_fract_x
_atom_site_fract_y
_atom_site_fract_z
Y1 Y 0.500 0.621 0.000
Y2 Y 0.500 0.379 0.379
Y3 Y 0.500 0.000 0.621
Y4 Y 0.000 0.280 0.000
Y5 Y 0.000 0.720 0.720
Y6 Y 0.000 0.000 0.280
Ho1 Ho 0.000 0.333 0.667
Ho2 Ho 0.000 0.667 0.333
Tl1 Tl 0.500 0.000 0.000
```

Calculated values
V ... 31.22 Å³ per atom
Relative energy among the computed polymorphs ... 0 meV/atom
Energy of formation ... -105 meV per atom
Uncorrected energy ... -5.69 eV per atom

=====

- What is the formula in the third record?
  YHo6Tl2